# 1
## La2CoHg (GGA-PBEsol)

Data for a relaxed La2CoHg crystal.

Geometry as extended XYZ:
```
4
Lattice="-2.483 -2.172 -1.148 1.319 0.214 -3.227 4.661 -6.120 1.500" Properties=species:S:1:pos:R:3 pbc="T T T"
Hg -0.582 -0.979 -2.188
La 1.360 -1.786 0.438
Co 1.749 -4.039 -1.438
La 3.300 -4.334 1.062
```

Results
Space-group type: Cmmm, No. 65
ΔE_f (eV/atom): -0.23

# 2
## YHg2Ir (GGA-PBEsol)

Data for a relaxed YHg2Ir crystal.

Geometry as extended XYZ:
```
4
Lattice="-2.120 -1.488 2.768 3.085 -0.027 2.349 -0.307 6.150 0.474" Properties=species:S:1:pos:R:3 pbc="T T T"
Hg -2.223 3.854 2.965
Y 0.223 0.270 2.912
Ir -0.431 1.705 0.586
Hg 0.657 3.486 2.378
```

Results
Space-group type: Amm2, No. 38
ΔE_f (eV/atom): -0.28

# 3
## LaTe3C (GGA-PBEsol)

Data for a relaxed LaTe3C crystal.

Geometry as extended XYZ:
```
5
Lattice="6.077 0.000 0.000 0.000 6.077 0.000 0.000 0.000 6.077" Properties=species:S:1:pos:R:3 pbc="T T T"
Te 3.038 0.000 0.000
Te 0.000 3.038 0.000
Te 0.000 0.000 3.038
La 0.000 0.000 0.000
C 3.038 3.038 3.038
```

Results
E_tot (eV per formula unit): -18.18
Space-group type: Pm-3m, No. 221

# 4
## ScGaPt (GGA-PBEsol)

Data for a relaxed ScGaPt crystal.

Geometry as extended XYZ:
```
12
Lattice="4.327 0.000 0.000 0.000 6.244 0.000 0.000 0.000 7.487" Properties=species:S:1:pos:R:3 pbc="T T T"
Sc 3.246 6.184 2.167
Sc 3.246 3.062 1.577
Pt 1.082 1.654 3.061
Ga 1.082 4.312 3.153
Ga 3.246 1.932 4.333
Ga 1.082 1.190 0.590
Ga 3.246 5.054 6.897
Pt 1.082 4.776 0.682
Pt 3.246 1.468 6.804
Pt 3.246 4.590 4.426
Sc 1.082 0.059 5.320
Sc 1.082 3.181 5.910
```

Results
Space-group type: Pnma, No. 62
ΔE_f (eV/atom): -1.09

# 5
## CdInOs2Pb (GGA-PBEsol)

Data for a relaxed CdInOs2Pb crystal.

Geometry as extended XYZ:
```
5
Lattice="4.896 0.000 0.000 0.000 4.896 0.000 0.000 0.000 5.347" Properties=species:S:1:pos:R:3 pbc="T T T"
Os 2.448 0.000 0.000
Cd 2.448 2.448 2.674
Pb 0.000 0.000 2.674
In 0.000 0.000 0.000
Os 0.000 2.448 0.000
```

Results
Space-group type: P4/mmm, No. 123
ΔE_f (eV/atom): 2.19

# 6
## LaCrCuCl2 (GGA-PBEsol)

Data for a relaxed LaCrCuCl2 crystal.

Geometry as extended XYZ:
```
5
Lattice="4.540 0.000 0.000 0.000 4.540 0.000 0.000 0.000 5.398" Properties=species:S:1:pos:R:3 pbc="T T T"
La 0.000 0.000 2.699
Cl 0.000 2.270 0.000
Cl 2.270 0.000 0.000
Cu 2.270 2.270 2.699
Cr 0.000 0.000 0.000
```

Results
E_tot (eV per formula unit): -24.22
Space-group type: P4/mmm, No. 123